Entry 1:
Sr2CrCo | GGA-PBE | relaxed

a b c (Å): 4.6260 4.6260 10.1480
angles (deg): 90.00 90.00 90.00
With the nearest neighbours (Å) after each atom.
Space group I-4m2 (No. 119)
Inequivalent atoms, fractional coordinates:
1 Sr 0.0000 0.0000 0.0000 x2  4 Cr 3.27, 4 Co 3.43, 4 Sr 3.43
2 Sr 0.0000 0.5000 0.2500 x2  4 Co 3.27, 4 Cr 3.43, 4 Sr 3.43
3 Cr 0.0000 0.0000 0.5000 x2  8 Sr 3.27-3.43, 4 Co 3.43
4 Co 0.0000 0.5000 0.7500 x2  8 Sr 3.27-3.43, 4 Cr 3.43

Results
DFT formation energy: 0.84 eV per atom
crystal system: tetragonal

---

Entry 2:
Ac4IrSe2I | GGA-PBE | relaxed

a b c (Å): 7.9091 4.3790 8.1640
angles (deg): 90.00 107.71 90.00
With the nearest neighbours (Å) after each atom.
Space group P2/m (No. 10)
Inequivalent atoms, fractional coordinates:
1 Ac 0.2241 0.0000 0.2104 x2  2 Ir 3.01, 1 Se 3.16, 1 I 3.36
2 Ac 0.2630 0.5000 0.7784 x2  3 Se 3.09-3.36, 1 Ir 3.14, 2 I 3.38
3 Ir 0.0000 0.5000 0.0000 x1  6 Ac 3.01-3.14
4 Se 0.5000 0.0000 0.0000 x1  6 Ac 3.09-3.16
5 Se 0.5000 0.5000 0.5000 x1  6 Ac 3.36-3.47
6 I 0.0000 0.0000 0.5000 x1  6 Ac 3.36-3.38

Results
crystal system: monoclinic

---

Entry 3:
LaZnPd3 | GGA-PBE | relaxed

a b c (Å): 6.0206 6.0206 13.0555
angles (deg): 90.00 90.00 120.00
With the nearest neighbours (Å) after each atom.
Space group P6_3/mmc (No. 194)
Inequivalent atoms, fractional coordinates:
1 La 0.0000 0.0000 0.0000 x2  6 Pd 3.01
2 La 0.3333 0.6667 0.2500 x2  6 Pd 3.02
3 Zn 0.3333 0.6667 0.6348 x4  6 Pd 2.46-2.47
4 Pd 0.0000 0.5000 0.0000 x6  2 Zn 2.47
5 Pd 0.1462 0.2924 0.7500 x6  2 Zn 2.46, 2 Pd 2.64

Results
DFT formation energy: -0.59 eV per atom
crystal system: hexagonal

---

Number 1: energy -4.186 eV/atom. Number 2: energy -5.534 eV/atom. Number 3: energy -4.950 eV/atom.